(1)
Compound: Sc5AlCd4
Source: the Alexandria database
Functional: PBE
Structure: relaxed

Results
energy	-4.2270	eV/atom

a = 3.5035 Å, b = 3.5035 Å, c = 17.5904 Å
α = 90.00°, β = 90.00°, γ = 90.00°
Space group P4/mmm (No. 123)
Unique sites:
Sc1 0.0000 0.0000 0.0000 [1 per cell]
Sc2 0.0000 0.0000 0.2041 [2 per cell]
Sc3 0.0000 0.0000 0.4068 [2 per cell]
Al1 0.5000 0.5000 0.5000 [1 per cell]
Cd1 0.5000 0.5000 0.1021 [2 per cell]
Cd2 0.5000 0.5000 0.3056 [2 per cell]

---

(2)
Compound: SrCrI3
Source: the Alexandria database
Functional: PBE
Structure: relaxed

Results
uncorrected formation energy	-0.64	eV per atom

a = 5.6950 Å, b = 5.6950 Å, c = 5.6950 Å
α = 90.00°, β = 90.00°, γ = 90.00°
Space group Pm-3m (No. 221)
Unique sites:
Sr1 0.0000 0.0000 0.0000 [1 per cell]
Cr1 0.5000 0.5000 0.5000 [1 per cell]
I1 0.0000 0.5000 0.5000 [3 per cell]

---

(3)
Compound: ZnCuTe2
Source: the Alexandria database
Functional: PBE
Structure: relaxed

Results
uncorrected formation energy	-0.10	eV per atom

a = 4.2131 Å, b = 4.2131 Å, c = 7.1326 Å
α = 90.00°, β = 90.00°, γ = 120.00°
Space group P3m1 (No. 156)
Unique sites:
Zn1 0.0000 0.0000 0.0000 [1 per cell]
Cu1 0.6667 0.3333 0.4688 [1 per cell]
Te1 0.0000 0.0000 0.3745 [1 per cell]
Te2 0.3333 0.6667 0.8494 [1 per cell]

---

(4)
Compound: NaPdAu
Source: the Alexandria database
Functional: PBE
Structure: relaxed

Results
energy	-3.4049	eV/atom

a = 4.7278 Å, b = 4.7278 Å, c = 2.7796 Å
α = 90.00°, β = 90.00°, γ = 120.00°
Space group P3m1 (No. 156)
Unique sites:
Na1 0.0000 0.0000 0.0000 [1 per cell]
Pd1 0.3333 0.6667 0.7080 [1 per cell]
Au1 0.6667 0.3333 0.3478 [1 per cell]

---

(5)
Compound: Th2ReN6
Source: the Alexandria database
Functional: PBE
Structure: relaxed

Results
uncorrected formation energy	-0.58	eV per atom

a = 5.6850 Å, b = 6.8581 Å, c = 6.8207 Å
α = 90.00°, β = 115.81°, γ = 90.00°
Space group P2_1/c (No. 14)
Unique sites:
Th1 0.1659 0.0700 0.2965 [4 per cell]
Re1 0.5000 0.0000 0.0000 [2 per cell]
N1 0.1565 0.1310 0.9486 [4 per cell]
N2 0.3373 0.5790 0.1783 [4 per cell]
N3 0.3628 0.7127 0.0359 [4 per cell]

---

(6)
Compound: CaCu2Sb
Source: the Alexandria database
Functional: PBE
Structure: relaxed

Results
uncorrected formation energy	-0.22	eV per atom

a = 4.4873 Å, b = 4.3881 Å, c = 4.4914 Å
α = 90.00°, β = 108.69°, γ = 90.00°
Space group Pm (No. 6)
Unique sites:
Ca1 0.0000 0.0000 0.0000 [1 per cell]
Cu1 0.2897 0.5000 0.7143 [1 per cell]
Cu2 0.4282 0.0000 0.5717 [1 per cell]
Sb1 0.6509 0.5000 0.3511 [1 per cell]

---

(7)
Compound: CrPb
Source: the Alexandria database
Functional: PBE
Structure: relaxed

Results
energy	-5.9672	eV/atom

a = 3.4374 Å, b = 5.5666 Å, c = 4.8678 Å
α = 90.00°, β = 90.00°, γ = 90.00°
Space group Pmmn (No. 59, origin choice 2)
Unique sites:
Cr1 0.2500 0.2500 0.1106 [2 per cell]
Pb1 0.2500 0.7500 0.3913 [2 per cell]

---

(8)
Compound: Lu2Nb
Source: the Alexandria database
Functional: PBE
Structure: relaxed

Results
energy	-6.0816	eV/atom

a = 3.7566 Å, b = 3.7566 Å, c = 10.4205 Å
α = 90.00°, β = 90.00°, γ = 90.00°
Space group I4/mmm (No. 139)
Unique sites:
Lu1 0.0000 0.0000 0.1512 [4 per cell]
Nb1 0.0000 0.0000 0.5000 [2 per cell]

---

(9)
Compound: NaNbH2
Source: the Alexandria database
Functional: PBE
Structure: relaxed

Results
energy	-3.7473	eV/atom

a = 5.5072 Å, b = 5.5072 Å, c = 5.5072 Å
α = 90.00°, β = 90.00°, γ = 90.00°
Space group Fm-3m (No. 225)
Unique sites:
Na1 0.0000 0.0000 0.0000 [4 per cell]
Nb1 0.0000 0.0000 0.5000 [4 per cell]
H1 0.2500 0.2500 0.2500 [8 per cell]

---

(10)
Compound: ReMo2N2
Source: the Alexandria database
Functional: PBE
Structure: relaxed

Results
uncorrected formation energy	0.91	eV per atom

a = 6.7214 Å, b = 6.7214 Å, c = 2.6839 Å
α = 90.00°, β = 90.00°, γ = 90.00°
Space group P4/mbm (No. 127)
Unique sites:
Re1 0.0000 0.0000 0.0000 [2 per cell]
Mo1 0.1398 0.3602 0.0000 [4 per cell]
N1 0.1230 0.6230 0.5000 [4 per cell]

---

(11)
Compound: AcPrN
Source: the Alexandria database
Functional: PBE
Structure: relaxed

Results
uncorrected formation energy	-0.17	eV per atom

a = 3.3475 Å, b = 3.3475 Å, c = 13.3023 Å
α = 90.00°, β = 90.00°, γ = 90.00°
Space group I4mm (No. 107)
Unique sites:
Ac1 0.0000 0.0000 0.0000 [2 per cell]
Pr1 0.0000 0.0000 0.2319 [2 per cell]
N1 0.0000 0.0000 0.6390 [2 per cell]

---

(12)
Compound: SrPN2F
Source: the Alexandria database
Functional: PBE
Structure: relaxed

Results
uncorrected formation energy	-0.79	eV per atom

a = 3.5699 Å, b = 3.5699 Å, c = 4.6141 Å
α = 90.00°, β = 90.00°, γ = 90.00°
Space group P4/mmm (No. 123)
Unique sites:
Sr1 0.0000 0.0000 0.0000 [1 per cell]
P1 0.5000 0.5000 0.5000 [1 per cell]
N1 0.0000 0.5000 0.5000 [2 per cell]
F1 0.5000 0.5000 0.0000 [1 per cell]

---

(13)
Compound: Pr3IrCl2O6
Source: the Alexandria database
Functional: PBE
Structure: relaxed

Results
uncorrected formation energy	-1.96	eV per atom

a = 11.8079 Å, b = 6.7690 Å, c = 5.6569 Å
α = 90.00°, β = 98.13°, γ = 90.00°
Space group C2/m (No. 12)
Unique sites:
Pr1 0.0000 0.0000 0.0000 [2 per cell]
Pr2 0.2500 0.2500 0.5000 [4 per cell]
Ir1 0.0000 0.5000 0.5000 [2 per cell]
Cl1 0.2168 0.0000 0.8754 [4 per cell]
O1 0.0560 0.2673 0.3018 [8 per cell]
O2 0.1575 0.5000 0.6719 [4 per cell]

---

(14)
Compound: PrInCo
Source: the Alexandria database
Functional: PBE
Structure: relaxed

Results
energy	-4.9397	eV/atom

a = 6.6253 Å, b = 8.2829 Å, c = 5.2151 Å
α = 90.00°, β = 97.14°, γ = 90.00°
Space group P2_1/c (No. 14)
Unique sites:
Pr1 0.2190 0.0780 0.2840 [4 per cell]
In1 0.2881 0.6616 0.2870 [4 per cell]
Co1 0.4187 0.1395 0.8189 [4 per cell]

---

(15)
Compound: Na2AgPb2
Source: the Alexandria database
Functional: PBE
Structure: relaxed

Results
energy	-2.4128	eV/atom

a = 4.3553 Å, b = 4.3553 Å, c = 17.2694 Å
α = 90.00°, β = 90.00°, γ = 90.00°
Space group I4/mmm (No. 139)
Unique sites:
Na1 0.0000 0.0000 0.0913 [4 per cell]
Ag1 0.0000 0.0000 0.5000 [2 per cell]
Pb1 0.0000 0.5000 0.2500 [4 per cell]

---

(16)
Compound: Re2Se
Source: the Alexandria database
Functional: PBE
Structure: relaxed

Results
uncorrected formation energy	1.10	eV per atom

a = 5.7075 Å, b = 5.7075 Å, c = 5.7999 Å
α = 90.00°, β = 90.00°, γ = 90.00°
Space group I4/mcm (No. 140)
Unique sites:
Re1 0.1587 0.3413 0.0000 [8 per cell]
Se1 0.0000 0.0000 0.2500 [4 per cell]

---

(17)
Compound: CuH
Source: the Alexandria database
Functional: PBE
Structure: relaxed

Results
energy	-3.5855	eV/atom

a = 2.7869 Å, b = 9.3568 Å, c = 3.9472 Å
α = 90.00°, β = 90.00°, γ = 90.00°
Space group Pmmn (No. 59, origin choice 2)
Unique sites:
Cu1 0.2500 0.1116 0.0196 [4 per cell]
Cu2 0.2500 0.7500 0.4379 [2 per cell]
H1 0.2500 0.2500 0.3138 [2 per cell]
H2 0.2500 0.5706 0.2259 [4 per cell]

---

(18)
Compound: CaFeRe
Source: the Alexandria database
Functional: PBE
Structure: relaxed

Results
energy	-5.4717	eV/atom

a = 6.4754 Å, b = 6.4754 Å, c = 6.4754 Å
α = 90.00°, β = 90.00°, γ = 90.00°
Space group F-43m (No. 216)
Unique sites:
Ca1 0.0000 0.0000 0.0000 [4 per cell]
Fe1 0.2500 0.2500 0.2500 [4 per cell]
Re1 0.2500 0.2500 0.7500 [4 per cell]

---

(19)
Compound: La2YThAs4
Source: the Alexandria database
Functional: PBE
Structure: relaxed

Results
energy	-6.8383	eV/atom

a = 7.3898 Å, b = 4.2823 Å, c = 7.4392 Å
α = 90.00°, β = 109.40°, γ = 90.00°
Space group P2/m (No. 10)
Unique sites:
La1 0.0000 0.0000 0.0000 [1 per cell]
La2 0.5000 0.5000 0.0000 [1 per cell]
Y1 0.0000 0.5000 0.5000 [1 per cell]
Th1 0.5000 0.0000 0.5000 [1 per cell]
As1 0.2443 0.0000 0.7384 [2 per cell]
As2 0.2510 0.5000 0.2600 [2 per cell]

---

(20)
Compound: Rb3AcBr7
Source: the Alexandria database
Functional: PBE
Structure: relaxed

Results
uncorrected formation energy	-1.66	eV per atom

a = 12.4575 Å, b = 11.4982 Å, c = 8.9618 Å
α = 90.00°, β = 132.33°, γ = 90.00°
Space group Cm (No. 8)
Unique sites:
Rb1 0.0000 0.0000 0.0000 [2 per cell]
Rb2 0.4926 0.2234 0.4321 [4 per cell]
Ac1 0.4327 0.0000 0.8679 [2 per cell]
Br1 0.1130 0.0000 0.4743 [2 per cell]
Br2 0.1288 0.3009 0.1879 [4 per cell]
Br3 0.1340 0.5000 0.7838 [2 per cell]
Br4 0.3107 0.0000 0.0711 [2 per cell]
Br5 0.3739 0.2559 0.6952 [4 per cell]